Entry 1:
Here is crystalline V5Ga2Mo at its relaxed geometry from Alexandria. Energies are from PBE.

The calculation puts the energy of formation at -180 meV per atom. The calculation puts the energy relative to the lowest polymorph listed for this composition at 0 meV per atom.

The structure belongs to space group I4/mmm (No. 139); the cell edges are 4.434, 4.434 and 11.455 Å and the angles 90.00°, 90.00° and 90.00°. The distinct sites, in fractional coordinates, are V at (0.000, 0.000, 0.000), V at (0.000, 0.500, 0.120), Ga at (0.000, 0.000, 0.249) and Mo at (0.000, 0.000, 0.500).

=====

Entry 2:
Here is crystalline LiPtSeI at its relaxed geometry from Alexandria. Energies are from PBE.

As for the formation energy from raw total energies: -0.419 eV per atom. The calculation puts the energy relative to the lowest polymorph listed for this composition at 158 meV per atom.

The structure belongs to space group P4mm (No. 99); the cell edges are 3.867, 3.867 and 5.575 Å and the angles 90.00°, 90.00° and 90.00°. The distinct sites, in fractional coordinates, are Li at (0.000, 0.000, 0.000), Pt at (0.500, 0.500, 0.484), Se at (0.000, 0.000, 0.491) and I at (0.500, 0.500, 0.983).

=====

Entry 3:
Here is crystalline SrZrPt at its relaxed geometry from Alexandria. Energies are from PBE.

The calculation puts the energy of formation at -717 meV per atom. The calculation puts the energy relative to the lowest polymorph listed for this composition at 0 meV per atom.

The structure belongs to space group P4/nmm (No. 129, origin choice 2); the cell edges are 4.775, 4.775 and 7.316 Å and the angles 90.00°, 90.00° and 90.00°. The distinct sites, in fractional coordinates, are Sr at (0.250, 0.250, 0.133), Zr at (0.250, 0.750, 0.500) and Pt at (0.250, 0.250, 0.677).

=====

Which value of energy relative to the lowest polymorph listed for this composition does entry 3 give?
0 meV per atom